Density functional theory data (PBE-GGA) for a relaxed RbCrTeCl6 crystal.

* calculated volume: 299 Å³/cell
* theoretical density: 2.7 g cm⁻³
* SG: C2 (5)
* total moment: 2.9 μB per cell
* electronic total energy: -3.76 eV/atom

a b c (Å): 6.763 6.765 6.950
angles (deg): 86.28 93.73 71.02
Fractional positions:
Cl (0.412, 0.939, 0.671)
Cl (0.644, 0.374, 0.694)
Cl (0.939, 0.412, 0.329)
Cl (0.927, 0.690, 0.721)
Cl (0.374, 0.644, 0.306)
Cl (0.689, 0.926, 0.278)
Cr (0.672, 0.672, 0.500)
Te (0.317, 0.317, 0.500)
Rb (0.025, 0.025, 0.000)


Density functional theory data (PBE-GGA) for a relaxed Lu3In crystal.

* density of states at the Fermi level: 4.0 states/eV/cell
* calculated volume: 107 Å³/cell
* theoretical density: 9.9 g cm⁻³
* SG: I4/mmm (139)
* total moment: 0.0 μB per cell
* electronic total energy: -4.28 eV/atom

a b c (Å): 4.642 4.642 5.969
angles (deg): 112.88 112.88 90.00
Fractional positions:
Lu (0.250, 0.750, 0.500)
Lu (0.500, 0.500, 0.000)
Lu (0.750, 0.250, 0.500)
In (0.000, 0.000, 0.000)


Density functional theory data (PBE-GGA) for a relaxed RbNbNF2 crystal.

* density of states at the Fermi level: 0.9 states/eV/cell
* calculated volume: 79 Å³/cell
* theoretical density: 4.8 g cm⁻³
* SG: P4/mmm (123)
* energy relative to the lowest polymorph listed for this composition: 0.000 eV/atom
* total moment: 1.0 μB per cell
* electronic total energy: -6.38 eV/atom

a b c (Å): 4.438 4.438 4.031
angles (deg): 90.00 90.00 90.00
Fractional positions:
F (0.000, 0.500, 0.000)
F (0.500, 0.000, 0.000)
N (0.000, 0.000, 0.500)
Rb (0.500, 0.500, 0.500)
Nb (0.000, 0.000, 0.000)


Density functional theory data (PBE-GGA) for a relaxed Tb2Ni5P4 crystal.

* density of states at the Fermi level: 4.8 states/eV/cell
* calculated volume: 159 Å³/cell
* theoretical density: 7.7 g cm⁻³
* SG: Fmmm (69)
* total moment: 0.0 μB per cell
* electronic total energy: -6.24 eV/atom

a b c (Å): 5.290 5.357 6.990
angles (deg): 79.23 67.77 60.41
Fractional positions:
Ni (0.250, 0.500, 0.500)
Ni (0.500, 0.000, 0.000)
Ni (0.500, 0.500, 0.000)
Ni (0.750, 0.500, 0.500)
Ni (0.000, 0.500, 0.000)
P (0.522, 0.695, 0.261)
P (0.783, 0.695, 0.739)
P (0.478, 0.305, 0.739)
P (0.217, 0.305, 0.261)
Tb (0.144, 0.000, 0.713)
Tb (0.856, 0.000, 0.287)


Density functional theory data (PBE-GGA) for a relaxed Na2Sc2Mn crystal.

* density of states at the Fermi level: 8.2 states/eV/cell
* calculated volume: 262 Å³/cell
* theoretical density: 2.4 g cm⁻³
* SG: P4/mbm (127)
* energy relative to the lowest polymorph listed for this composition: 0.000 eV/atom
* total moment: 2.3 μB per cell
* electronic total energy: -4.37 eV/atom

a b c (Å): 6.603 6.603 6.014
angles (deg): 90.00 90.00 90.00
Fractional positions:
Na (0.822, 0.322, 0.500)
Na (0.678, 0.822, 0.500)
Na (0.178, 0.678, 0.500)
Na (0.322, 0.178, 0.500)
Mn (0.000, 0.000, 0.000)
Mn (0.500, 0.500, 0.000)
Sc (0.679, 0.179, 0.000)
Sc (0.321, 0.821, 0.000)
Sc (0.821, 0.679, 0.000)
Sc (0.179, 0.321, 0.000)


Density functional theory data (PBE-GGA) for a relaxed BaNaTl2Pd crystal.

* density of states at the Fermi level: 3.2 states/eV/cell
* calculated volume: 149 Å³/cell
* theoretical density: 7.5 g cm⁻³
* SG: Imm2 (44)
* energy relative to the lowest polymorph listed for this composition: 0.000 eV/atom
* total moment: 0.0 μB per cell
* electronic total energy: -2.95 eV/atom

a b c (Å): 4.709 4.558 7.662
angles (deg): 107.30 107.90 90.00
Fractional positions:
Pd (0.839, 0.839, 0.679)
Na (0.200, 0.700, 0.399)
Tl (0.043, 0.043, 0.085)
Tl (0.708, 0.208, 0.415)
Ba (0.423, 0.423, 0.846)


Density functional theory data (PBE-GGA) for a relaxed Fe4Ni5Rh2 crystal.

* density of states at the Fermi level: 12.0 states/eV/cell
* calculated volume: 132 Å³/cell
* theoretical density: 9.1 g cm⁻³
* SG: P-1 (2)
* total moment: 15.5 μB per cell
* electronic total energy: -7.07 eV/atom

a b c (Å): 4.439 4.453 9.949
angles (deg): 126.23 121.55 80.48
Fractional positions:
Fe (0.047, 0.368, 0.097)
Fe (0.953, 0.632, 0.903)
Fe (0.313, 0.536, 0.628)
Fe (0.687, 0.464, 0.372)
Rh (0.408, 0.266, 0.814)
Rh (0.592, 0.734, 0.186)
Ni (0.500, 0.000, 0.000)
Ni (0.865, 0.902, 0.728)
Ni (0.235, 0.815, 0.454)
Ni (0.765, 0.185, 0.546)
Ni (0.135, 0.098, 0.272)


Density functional theory data (PBE-GGA) for a relaxed Pm3NdTm4 crystal.

* density of states at the Fermi level: 29.7 states/eV/cell
* calculated volume: 522 Å³/cell
* theoretical density: 8.0 g cm⁻³
* SG: Pmn2_1 (31)
* energy relative to the lowest polymorph listed for this composition: 0.006 eV/atom
* total moment: 0.0 μB per cell
* electronic total energy: -4.59 eV/atom

a b c (Å): 6.266 7.288 11.429
angles (deg): 90.00 90.00 90.00
Fractional positions:
Nd (0.646, 0.628, 0.500)
Nd (0.146, 0.372, 0.000)
Tm (0.148, 0.880, 0.500)
Tm (0.481, 0.880, 0.250)
Tm (0.648, 0.120, 0.500)
Tm (0.648, 0.120, 0.000)
Tm (0.148, 0.880, 0.000)
Tm (0.981, 0.120, 0.250)
Tm (0.481, 0.880, 0.750)
Tm (0.981, 0.120, 0.750)
Pm (0.983, 0.629, 0.250)
Pm (0.483, 0.371, 0.750)
Pm (0.646, 0.629, 0.000)
Pm (0.483, 0.371, 0.250)
Pm (0.983, 0.629, 0.750)
Pm (0.146, 0.371, 0.500)